{"formula": "MnAgBr2F", "functional": "GGA+U", "state": "relaxed", "lattice": [[5.4255, 0.0000, 0.0000], [0.0000, 5.4255, 0.0000], [0.0000, 0.0000, 3.9932]], "species": ["Mn", "Ag", "Br", "Br", "F"], "frac_coords": [[0.0000, 0.0000, 0.0000], [0.5000, 0.5000, 0.5000], [0.0000, 0.5000, 0.0000], [0.5000, 0.0000, 0.0000], [0.0000, 0.0000, 0.5000]], "total_energy_ev_per_fu": -20.76, "mass_density_g_cm3": 4.8, "total_magnetization_mub_per_fu": 5.00}